1.
This record from Alexandria describes a relaxed TlBi3Pt2 crystal. The functional is PBE.

POSCAR file:
```
TlBi3Pt2
1.0
4.3364 0.0000 0.0000
0.0000 8.9492 0.0000
0.0000 0.0000 9.1282
Tl Bi Pt
2 6 4
Direct
0.0000 0.0000 0.0000
0.0000 0.5000 0.5000
0.0000 0.0000 0.3953
0.0000 0.5000 0.8953
0.5000 0.1961 0.6867
0.5000 0.3039 0.1867
0.5000 0.6961 0.1867
0.5000 0.8039 0.6867
0.0000 0.0000 0.6996
0.0000 0.5000 0.1996
0.5000 0.0000 0.2068
0.5000 0.5000 0.7068
```

spin magnetization: 0.0 μB per formula unit
VASP energy: -4.4132 eV/atom


2.
This record from Alexandria describes a relaxed MoIrAu2 crystal. The functional is PBE.

POSCAR file:
```
MoIrAu2
1.0
3.9986 0.0000 0.0000
0.0000 3.9986 0.0000
0.0000 0.0000 8.1275
Mo Ir Au
2 2 4
Direct
0.0000 0.0000 0.0000
0.5000 0.5000 0.5000
0.0000 0.5000 0.7500
0.5000 0.0000 0.2500
0.0000 0.0000 0.5000
0.0000 0.5000 0.2500
0.5000 0.0000 0.7500
0.5000 0.5000 0.0000
```

spin magnetization: 0.0 μB per formula unit
offset from the most stable computed form: 0.95 eV/f.u.


3.
This record from Alexandria describes a relaxed AcPr4Ho5 crystal. The functional is PBE.

POSCAR file:
```
AcPr4Ho5
1.0
3.6821 0.0000 0.0000
0.0000 3.6821 0.0000
0.0000 0.0000 25.3037
Ac Pr Ho
1 4 5
Direct
0.0000 0.0000 0.0000
0.0000 0.0000 0.2036
0.0000 0.0000 0.4012
0.0000 0.0000 0.5988
0.0000 0.0000 0.7964
0.5000 0.5000 0.1057
0.5000 0.5000 0.3026
0.5000 0.5000 0.5000
0.5000 0.5000 0.6974
0.5000 0.5000 0.8943
```

spin magnetization: 0.0 μB per formula unit
VASP energy: -4.5810 eV/atom


4.
This record from Alexandria describes a relaxed HgPd2Pb crystal. The functional is PBE.

POSCAR file:
```
HgPd2Pb
1.0
7.5313 0.0000 0.0000
0.0000 7.5313 0.0000
0.0000 0.0000 5.9749
Hg Pd Pb
4 8 4
Direct
0.0000 0.0000 0.0000
0.0000 0.5000 0.2500
0.5000 0.0000 0.7500
0.5000 0.5000 0.5000
0.2503 0.2500 0.1250
0.2497 0.2500 0.6250
0.2500 0.7503 0.3750
0.2500 0.7497 0.8750
0.7500 0.2497 0.3750
0.7500 0.2503 0.8750
0.7497 0.7500 0.1250
0.7503 0.7500 0.6250
0.0000 0.0000 0.5000
0.0000 0.5000 0.7500
0.5000 0.0000 0.2500
0.5000 0.5000 0.0000
```

spin magnetization: 0.0 μB per formula unit
VASP energy: -3.5839 eV/atom


5.
This record from Alexandria describes a relaxed NpTl2CrS4 crystal. The functional is PBE.

POSCAR file:
```
NpTl2CrS4
1.0
6.4440 0.0000 0.0000
0.0000 3.8747 0.0000
-2.2001 0.0000 7.6355
Np Tl Cr S
1 2 1 4
Direct
0.0000 0.0000 0.0000
0.0000 0.5000 0.5000
0.5000 0.0000 0.5000
0.5000 0.5000 0.0000
0.2497 0.5000 0.1902
0.2941 0.0000 0.8216
0.7059 0.0000 0.1784
0.7503 0.5000 0.8098
```

spin magnetization: 7.0 μB per formula unit
VASP energy: -6.2471 eV/atom


6.
This record from Alexandria describes a relaxed MnAg crystal. The functional is PBE.

POSCAR file:
```
MnAg
1.0
9.4192 0.0000 0.0000
0.0000 9.4192 0.0000
0.0000 0.0000 2.7369
Mn Ag
8 8
Direct
0.0386 0.3651 0.0000
0.1349 0.5386 0.5000
0.3651 0.9614 0.0000
0.4614 0.1349 0.5000
0.5386 0.8651 0.5000
0.6349 0.0386 0.0000
0.8651 0.4614 0.5000
0.9614 0.6349 0.0000
0.1364 0.8351 0.5000
0.1649 0.1364 0.5000
0.3351 0.3636 0.0000
0.3636 0.6649 0.0000
0.6364 0.3351 0.0000
0.6649 0.6364 0.0000
0.8351 0.8636 0.5000
0.8636 0.1649 0.5000
```

spin magnetization: 0.8 μB per formula unit
VASP energy: -5.5596 eV/atom


7.
This record from Alexandria describes a relaxed Tl6SnPb12 crystal. The functional is PBE.

POSCAR file:
```
Tl6SnPb12
1.0
6.7308 3.8860 3.9033
-6.7308 3.8860 3.9033
0.0000 -7.7720 3.9033
Tl Sn Pb
6 1 12
Direct
0.0792 0.3328 0.3340
0.3328 0.3340 0.0792
0.3340 0.0792 0.3328
0.6660 0.9208 0.6672
0.6672 0.6660 0.9208
0.9208 0.6672 0.6660
0.5000 0.5000 0.5000
0.0919 0.0931 0.6839
0.0931 0.6839 0.0919
0.2481 0.5005 0.7521
0.2479 0.7519 0.4995
0.3161 0.9081 0.9069
0.4995 0.2479 0.7519
0.5005 0.7521 0.2481
0.6839 0.0919 0.0931
0.7521 0.2481 0.5005
0.7519 0.4995 0.2479
0.9069 0.3161 0.9081
0.9081 0.9069 0.3161
```

spin magnetization: 0.0 μB per formula unit
VASP energy: -3.2583 eV/atom


8.
This record from Alexandria describes a relaxed AcAlRh crystal. The functional is PBE.

POSCAR file:
```
AcAlRh
1.0
3.4089 0.0000 0.0000
0.0000 3.4089 0.0000
0.0000 0.0000 11.5616
Ac Al Rh
2 2 2
Direct
0.0000 0.0000 0.0000
0.5000 0.5000 0.5000
0.0000 0.0000 0.2812
0.5000 0.5000 0.7812
0.0000 0.0000 0.6937
0.5000 0.5000 0.1937
```

spin magnetization: 0.0 μB per formula unit
offset from the most stable computed form: 0.78 eV/f.u.